[1]
4
Lattice="-2.106 2.768 3.174 2.106 -2.768 3.174 2.106 2.768 -3.174" Properties=species:S:1:pos:R:3 comment="YMnSi2 PBE relaxed" energy_ha_per_atom=-0.252 crystal_system=orthorhombic spacegroup=Immm pbc="T T T"
Y 0.000 0.000 0.000
Mn 0.000 0.000 3.174
Si 2.106 0.000 1.952
Si 0.000 2.768 1.222

=====

[2]
4
Lattice="1.584 0.914 8.365 -1.584 0.914 8.365 0.000 -1.829 8.365" Properties=species:S:1:pos:R:3 comment="Sc2SiIr PBE relaxed" energy_ha_per_atom=-0.264 crystal_system=trigonal spacegroup=R-3m pbc="T T T"
Sc 0.000 0.000 6.216
Sc 0.000 0.000 18.880
Si 0.000 0.000 0.000
Ir 0.000 0.000 12.548

=====

[3]
12
Lattice="2.564 -2.564 0.000 2.564 2.564 0.000 -2.550 0.000 14.236" Properties=species:S:1:pos:R:3 comment="ZnNi7Sb2As2 PBE relaxed" energy_ha_per_atom=-0.188 crystal_system=monoclinic spacegroup=C2/m pbc="T T T"
Zn 0.000 0.000 0.000
Ni 1.282 1.282 1.786
Ni 0.010 0.000 8.663
Ni 1.297 1.282 12.450
Ni 2.564 0.000 0.000
Ni 1.282 -1.282 1.786
Ni 2.570 0.000 5.573
Ni 1.297 -1.282 12.450
Sb 0.007 0.000 6.033
Sb 2.572 0.000 8.203
As 0.016 0.000 10.995
As 2.564 0.000 3.241

=====

[4]
4
Lattice="-1.864 1.864 3.822 1.864 -1.864 3.822 1.864 1.864 -3.822" Properties=species:S:1:pos:R:3 comment="CoNi2Br PBE relaxed" relative_energy_ev_per_atom=0.3206 energy_ha_per_atom=-0.161 crystal_system=tetragonal spacegroup=I4/mmm pbc="T T T"
Co 0.000 0.000 0.000
Ni 1.864 0.000 1.911
Ni 0.000 1.864 1.911
Br 0.000 0.000 3.822

=====

[5]
14
Lattice="6.896 0.000 0.000 0.764 8.230 0.000 3.441 2.749 8.503" Properties=species:S:1:pos:R:3 comment="Sb PBE relaxed" relative_energy_ev_per_atom=0.2204 energy_ha_per_atom=-0.143 crystal_system=triclinic spacegroup=P-1 pbc="T T T"
Sb 0.000 0.000 0.000
Sb 2.103 5.490 4.252
Sb 2.350 2.636 5.478
Sb 1.830 3.128 2.252
Sb 5.125 8.428 6.999
Sb 4.580 7.084 3.320
Sb 6.212 3.963 8.062
Sb 5.169 1.375 4.252
Sb 3.830 4.115 0.000
Sb 4.890 7.017 0.441
Sb 6.522 3.895 5.183
Sb 5.977 2.552 1.504
Sb 9.272 7.852 6.251
Sb 8.752 8.344 3.025

=====

[6]
4
Lattice="1.473 -2.392 0.000 1.473 2.392 0.000 0.000 0.000 9.970" Properties=species:S:1:pos:R:3 comment="Cd2TcOs PBE relaxed" delta_e_f_ev_per_atom=0.44 relative_energy_ev_per_atom=0.2782 energy_ha_per_atom=-0.199 crystal_system=orthorhombic spacegroup=Cmm2 pbc="T T T"
Cd 0.000 0.000 0.000
Cd 1.473 0.000 2.813
Tc 0.000 0.000 5.350
Os 1.473 0.000 7.427

=====

[7]
10
Lattice="7.434 0.000 0.000 0.000 7.434 0.000 0.000 0.000 2.910" Properties=species:S:1:pos:R:3 comment="PdBr2F2 PBE relaxed" energy_ha_per_atom=-0.082 crystal_system=tetragonal spacegroup=P4/mbm pbc="T T T"
Pd 0.000 0.000 0.000
Pd 3.717 3.717 0.000
Br 1.365 2.351 1.455
Br 2.351 6.068 1.455
Br 5.082 1.365 1.455
Br 6.068 5.082 1.455
F 0.914 4.631 0.000
F 2.803 0.914 0.000
F 4.631 6.520 0.000
F 6.520 2.803 0.000

=====

[8]
12
Lattice="5.296 0.000 0.000 -2.648 4.586 0.000 0.000 0.000 12.963" Properties=species:S:1:pos:R:3 comment="LiPr3Ga2 PBE relaxed" delta_e_f_ev_per_atom=-0.38 relative_energy_ev_per_atom=0.0000 energy_ha_per_atom=-0.151 crystal_system=trigonal spacegroup=P-3m1 pbc="T T T"
Li 0.000 3.058 2.244
Li 2.648 1.529 10.719
Pr 0.000 0.000 3.343
Pr 0.000 0.000 9.621
Pr 0.000 3.058 5.486
Pr 0.000 3.058 11.900
Pr 2.648 1.529 1.064
Pr 2.648 1.529 7.477
Ga 0.000 0.000 0.000
Ga 0.000 0.000 6.482
Ga 0.000 3.058 8.799
Ga 2.648 1.529 4.165

=====

[9]
12
Lattice="3.076 -5.324 0.000 3.076 5.324 0.000 -2.044 0.000 11.522" Properties=species:S:1:pos:R:3 comment="Pm3Y2HoTm6 PBE relaxed" delta_e_f_ev_per_atom=0.02 energy_ha_per_atom=-0.179 crystal_system=monoclinic spacegroup=C2/m pbc="T T T"
Pm 0.000 0.000 0.000
Pm 3.076 1.776 0.000
Pm 3.076 -1.776 0.000
Y 2.054 3.550 5.761
Y 2.054 -3.550 5.761
Ho 2.054 0.000 5.761
Tm 1.029 1.771 2.905
Tm 0.009 0.000 8.618
Tm 1.029 -1.771 2.905
Tm 3.079 1.771 8.616
Tm 4.099 0.000 2.903
Tm 3.079 -1.771 8.616

=====

[10]
4
Lattice="0.000 3.656 3.656 3.656 0.000 3.656 3.656 3.656 0.000" Properties=species:S:1:pos:R:3 comment="Pu2MgZn PBE relaxed" delta_e_f_ev_per_atom=0.16 relative_energy_ev_per_atom=0.0422 energy_ha_per_atom=-0.284 crystal_system=cubic spacegroup=Fm-3m pbc="T T T"
Pu 1.828 1.828 1.828
Pu 5.484 5.484 5.484
Mg 0.000 0.000 0.000
Zn 3.656 3.656 3.656

=====

[11]
14
Lattice="6.226 -2.398 0.000 6.226 2.398 0.000 -5.601 0.000 15.710" Properties=species:S:1:pos:R:3 comment="Ba3GaAg3 PBE relaxed" delta_e_f_ev_per_atom=-0.28 relative_energy_ev_per_atom=0.0000 energy_ha_per_atom=-0.101 crystal_system=monoclinic spacegroup=C2/m pbc="T T T"
Ba -1.809 0.000 6.147
Ba -3.868 0.000 14.473
Ba 1.736 0.000 3.745
Ba 5.113 0.000 11.965
Ba 10.718 0.000 1.238
Ba 8.659 0.000 9.564
Ga -0.194 0.000 9.403
Ga 7.044 0.000 6.307
Ag 1.598 0.000 7.214
Ag -0.204 0.000 14.464
Ag 1.373 0.000 11.926
Ag 5.477 0.000 3.784
Ag 7.054 0.000 1.246
Ag 5.252 0.000 8.496

=====

[12]
8
Lattice="4.181 0.000 0.000 0.000 4.181 0.000 0.000 0.000 8.174" Properties=species:S:1:pos:R:3 comment="AlCdAg6 PBE relaxed" delta_e_f_ev_per_atom=-0.03 energy_ha_per_atom=-0.101 crystal_system=tetragonal spacegroup=P4/mmm pbc="T T T"
Al 0.000 0.000 0.000
Cd 0.000 0.000 4.087
Ag 0.000 2.091 1.963
Ag 0.000 2.091 6.211
Ag 2.091 0.000 1.963
Ag 2.091 0.000 6.211
Ag 2.091 2.091 0.000
Ag 2.091 2.091 4.087

=====

[13]
5
Lattice="5.206 0.000 0.000 0.000 5.206 0.000 0.000 0.000 5.206" Properties=species:S:1:pos:R:3 comment="InSeCl3 PBE relaxed" relative_energy_ev_per_atom=0.0976 energy_ha_per_atom=-0.096 crystal_system=cubic spacegroup=Pm-3m pbc="T T T"
In 0.000 0.000 0.000
Se 2.603 2.603 2.603
Cl 0.000 0.000 2.603
Cl 0.000 2.603 0.000
Cl 2.603 0.000 0.000

=====

[14]
4
Lattice="2.053 1.185 4.210 -2.053 1.185 4.210 0.000 -2.370 4.210" Properties=species:S:1:pos:R:3 comment="LaTcF2 PBE relaxed" relative_energy_ev_per_atom=0.1572 energy_ha_per_atom=-0.222 crystal_system=trigonal spacegroup=R-3m pbc="T T T"
La 0.000 0.000 0.000
Tc 0.000 0.000 6.315
F 0.000 0.000 2.628
F 0.000 0.000 10.003

=====

[15]
4
Lattice="1.797 1.038 12.716 -1.797 1.038 12.716 0.000 -2.075 12.716" Properties=species:S:1:pos:R:3 comment="LiCa2Pm PBE relaxed" delta_e_f_ev_per_atom=0.23 relative_energy_ev_per_atom=0.1503 energy_ha_per_atom=-0.089 crystal_system=trigonal spacegroup=R-3m pbc="T T T"
Li 0.000 0.000 0.000
Ca 0.000 0.000 15.546
Ca 0.000 0.000 22.601
Pm 0.000 0.000 19.073

=====

[16]
18
Lattice="3.077 -8.299 0.000 3.077 8.299 0.000 0.000 0.000 7.850" Properties=species:S:1:pos:R:3 comment="Nd2Mg3Ga4 PBE relaxed" delta_e_f_ev_per_atom=-0.38 energy_ha_per_atom=-0.122 crystal_system=orthorhombic spacegroup=Cmce pbc="T T T"
Nd 3.077 6.645 7.098
Nd 3.077 1.654 3.173
Nd 3.077 -1.654 4.677
Nd 3.077 -6.645 0.752
Mg 0.000 0.000 3.925
Mg 1.538 3.874 5.887
Mg 1.538 -3.874 1.962
Mg 3.077 0.000 0.000
Mg 4.615 3.874 5.887
Mg 4.615 -3.874 1.962
Ga 3.077 5.522 4.078
Ga 1.538 1.092 5.887
Ga 1.538 -1.092 1.962
Ga 3.077 2.777 0.153
Ga 3.077 -2.777 7.697
Ga 4.615 1.092 5.887
Ga 4.615 -1.092 1.962
Ga 3.077 -5.522 3.772

=====

[17]
4
Lattice="0.000 3.819 3.819 3.819 0.000 3.819 3.819 3.819 0.000" Properties=species:S:1:pos:R:3 comment="SrPrZnAg PBE relaxed" delta_e_f_ev_per_atom=-0.21 relative_energy_ev_per_atom=0.0413 energy_ha_per_atom=-0.105 crystal_system=cubic spacegroup=F-43m pbc="T T T"
Sr 0.000 0.000 0.000
Pr 3.819 3.819 3.819
Zn 5.728 5.728 5.728
Ag 1.909 1.909 1.909

=====

[18]
4
Lattice="3.471 0.000 0.000 -1.736 3.006 0.000 0.000 0.000 10.255" Properties=species:S:1:pos:R:3 comment="NiBr3 PBE relaxed" energy_ha_per_atom=-0.095 crystal_system=hexagonal spacegroup=P-6m2 pbc="T T T"
Ni 0.000 0.000 0.000
Br 0.000 0.000 5.127
Br 0.000 2.004 1.595
Br 0.000 2.004 8.660

=====

[19]
16
Lattice="1.857 -6.291 0.000 1.857 6.291 0.000 0.000 0.000 12.849" Properties=species:S:1:pos:R:3 comment="BaCe2PuN4 PBE relaxed" energy_ha_per_atom=-0.320 crystal_system=orthorhombic spacegroup=Cmcm pbc="T T T"
Ba 1.857 4.899 9.636
Ba 1.857 -4.899 3.212
Ce 1.857 1.633 6.865
Ce 1.857 1.633 12.408
Ce 1.857 -1.633 0.441
Ce 1.857 -1.633 5.984
Pu 1.857 4.293 3.212
Pu 1.857 -4.293 9.636
N 0.000 0.000 0.000
N 0.000 0.000 6.424
N 1.857 3.098 1.287
N 1.857 3.098 5.137
N 1.857 0.831 9.636
N 1.857 -0.831 3.212
N 1.857 -3.098 7.711
N 1.857 -3.098 11.562

=====

[20]
8
Lattice="-2.249 2.249 8.733 2.249 -2.249 8.733 2.249 2.249 -8.733" Properties=species:S:1:pos:R:3 comment="Mg5In2Ga PBE relaxed" delta_e_f_ev_per_atom=-0.08 relative_energy_ev_per_atom=0.0000 energy_ha_per_atom=-0.079 crystal_system=tetragonal spacegroup=I4/mmm pbc="T T T"
Mg 0.000 0.000 0.000
Mg 2.249 0.000 2.092
Mg 2.249 0.000 6.641
Mg 0.000 2.249 2.092
Mg 0.000 2.249 6.641
In 0.000 0.000 4.326
In 0.000 0.000 13.140
Ga 0.000 0.000 8.733